Record 1
Computed, not measured: a relaxed SrCd2Ag5 crystal at the PBE level of DFT.

Summary:
Symmetry: Immm
Calculated formation energy (meV per atom): -81

CIF file:
```
data_SrCd2Ag5
_space_group_name_H-M_alt 'P 1'
_space_group_IT_number 1
_space_group_name_Hall 'P 1'
_cell_length_a 7.247
_cell_length_b 7.247
_cell_length_c 7.247
_cell_angle_alpha 146.16
_cell_angle_beta 116.40
_cell_angle_gamma 74.02
loop_
_atom_site_label
_atom_site_fract_x
_atom_site_fract_y
_atom_site_fract_z
Sr1 0.000 0.000 0.000
Cd1 0.250 0.750 0.500
Cd2 0.750 0.250 0.500
Ag1 0.186 0.376 0.810
Ag2 0.434 0.624 0.810
Ag3 0.500 0.000 0.500
Ag4 0.566 0.376 0.190
Ag5 0.814 0.624 0.190
```

***

Record 2
Computed, not measured: a relaxed SrCd2Ag crystal at the PBE level of DFT.

Summary:
Symmetry: Pmm2
Calculated formation energy (meV per atom): -160

CIF file:
```
data_SrCd2Ag
_space_group_name_H-M_alt 'P 1'
_space_group_IT_number 1
_space_group_name_Hall 'P 1'
_cell_length_a 3.595
_cell_length_b 3.934
_cell_length_c 7.375
_cell_angle_alpha 90.00
_cell_angle_beta 90.00
_cell_angle_gamma 90.00
loop_
_atom_site_label
_atom_site_fract_x
_atom_site_fract_y
_atom_site_fract_z
Sr1 0.000 0.000 0.000
Cd1 0.000 0.000 0.473
Cd2 0.500 0.500 0.698
Ag1 0.500 0.500 0.284
```

***

Record 3
Computed, not measured: a relaxed SrCd2Ag crystal at the PBE level of DFT.

Summary:
Symmetry: Fmm2
Calculated formation energy (meV per atom): -190

CIF file:
```
data_SrCd2Ag
_space_group_name_H-M_alt 'P 1'
_space_group_IT_number 1
_space_group_name_Hall 'P 1'
_cell_length_a 6.984
_cell_length_b 6.080
_cell_length_c 4.904
_cell_angle_alpha 78.16
_cell_angle_beta 58.43
_cell_angle_gamma 43.41
loop_
_atom_site_label
_atom_site_fract_x
_atom_site_fract_y
_atom_site_fract_z
Sr1 0.000 0.000 0.000
Cd1 0.538 0.875 0.125
Cd2 0.875 0.538 0.462
Ag1 0.292 0.292 0.708
```

***

Record 4
Computed, not measured: a relaxed SrCdAg5 crystal at the PBE level of DFT.

Summary:
Symmetry: Pnma
Calculated formation energy (meV per atom): -174

CIF file:
```
data_SrCdAg5
_space_group_name_H-M_alt 'P 1'
_space_group_IT_number 1
_space_group_name_Hall 'P 1'
_cell_length_a 9.106
_cell_length_b 5.801
_cell_length_c 11.617
_cell_angle_alpha 90.00
_cell_angle_beta 90.00
_cell_angle_gamma 90.00
loop_
_atom_site_label
_atom_site_fract_x
_atom_site_fract_y
_atom_site_fract_z
Sr1 0.242 0.250 0.061
Sr2 0.258 0.750 0.561
Sr3 0.742 0.250 0.439
Sr4 0.758 0.750 0.939
Cd1 0.144 0.750 0.857
Cd2 0.356 0.250 0.357
Cd3 0.644 0.750 0.643
Cd4 0.856 0.250 0.143
Ag1 0.063 0.008 0.309
Ag2 0.063 0.492 0.309
Ag3 0.069 0.750 0.094
Ag4 0.101 0.250 0.519
Ag5 0.184 0.250 0.759
Ag6 0.316 0.750 0.259
Ag7 0.399 0.750 0.019
Ag8 0.431 0.250 0.594
Ag9 0.437 0.508 0.809
Ag10 0.437 0.992 0.809
Ag11 0.563 0.008 0.191
Ag12 0.563 0.492 0.191
Ag13 0.569 0.750 0.406
Ag14 0.601 0.250 0.981
Ag15 0.684 0.250 0.741
Ag16 0.816 0.750 0.241
Ag17 0.899 0.750 0.481
Ag18 0.931 0.250 0.906
Ag19 0.937 0.508 0.691
Ag20 0.937 0.992 0.691
```

***

Record 5
Computed, not measured: a relaxed Sr2Cd6Ag9 crystal at the PBE level of DFT.

Summary:
Symmetry: P6/mmm
Calculated formation energy (meV per atom): -101

CIF file:
```
data_Sr2Cd6Ag9
_space_group_name_H-M_alt 'P 1'
_space_group_IT_number 1
_space_group_name_Hall 'P 1'
_cell_length_a 5.822
_cell_length_b 5.822
_cell_length_c 14.238
_cell_angle_alpha 90.00
_cell_angle_beta 90.00
_cell_angle_gamma 120.00
loop_
_atom_site_label
_atom_site_fract_x
_atom_site_fract_y
_atom_site_fract_z
Sr1 0.000 0.000 0.171
Sr2 0.000 0.000 0.829
Cd1 0.333 0.667 0.166
Cd2 0.333 0.667 0.500
Cd3 0.333 0.667 0.834
Cd4 0.667 0.333 0.166
Cd5 0.667 0.333 0.500
Cd6 0.667 0.333 0.834
Ag1 0.000 0.500 0.000
Ag2 0.000 0.500 0.333
Ag3 0.000 0.500 0.667
Ag4 0.500 0.000 0.000
Ag5 0.500 0.000 0.333
Ag6 0.500 0.000 0.667
Ag7 0.500 0.500 0.000
Ag8 0.500 0.500 0.333
Ag9 0.500 0.500 0.667
```

***

Record 6
Computed, not measured: a relaxed Sr2CdAg3 crystal at the PBE level of DFT.

Summary:
Distance to the lowest polymorph of the same formula (eV per formula unit): 0.08
Symmetry: Fmmm
Calculated formation energy (meV per atom): -293

CIF file:
```
data_Sr2CdAg3
_space_group_name_H-M_alt 'P 1'
_space_group_IT_number 1
_space_group_name_Hall 'P 1'
_cell_length_a 9.760
_cell_length_b 9.416
_cell_length_c 6.364
_cell_angle_alpha 73.56
_cell_angle_beta 67.72
_cell_angle_gamma 38.71
loop_
_atom_site_label
_atom_site_fract_x
_atom_site_fract_y
_atom_site_fract_z
Sr1 0.247 0.753 0.753
Sr2 0.250 0.250 0.250
Sr3 0.750 0.750 0.750
Sr4 0.753 0.247 0.247
Cd1 0.333 0.333 0.667
Cd2 0.667 0.667 0.333
Ag1 0.166 0.668 0.332
Ag2 0.167 0.167 0.833
Ag3 0.332 0.834 0.166
Ag4 0.668 0.166 0.834
Ag5 0.833 0.833 0.167
Ag6 0.834 0.332 0.668
```